A geometry-optimized Pr2CrO5 structure, computed with PBE with a Hubbard U.

Cell and atoms, written as extended XYZ:
```
32
Lattice="10.799 0.000 0.000 0.000 3.977 0.000 0.000 0.000 11.317" Properties=species:S:1:pos:R:3 pbc="T T T"
Pr 1.059 0.994 2.475
Pr 1.508 0.994 6.269
Pr 3.891 2.982 0.611
Pr 4.341 2.982 8.133
Pr 6.458 0.994 3.184
Pr 6.908 0.994 10.707
Pr 9.291 2.982 5.048
Pr 9.740 2.982 8.842
Cr 2.040 0.994 9.860
Cr 3.360 2.982 4.202
Cr 7.439 0.994 7.116
Cr 8.759 2.982 1.457
O 0.125 2.982 6.813
O 0.324 0.994 9.443
O 2.403 2.982 2.613
O 2.429 0.994 0.345
O 2.513 2.982 9.890
O 2.887 0.994 4.232
O 2.970 2.982 6.003
O 2.996 0.994 8.272
O 5.075 2.982 3.784
O 5.274 0.994 1.154
O 5.525 2.982 10.163
O 5.724 0.994 7.533
O 7.803 2.982 3.045
O 7.829 0.994 5.314
O 7.912 2.982 7.085
O 8.286 0.994 1.427
O 8.370 2.982 10.973
O 8.396 0.994 8.704
O 10.475 2.982 1.875
O 10.674 0.994 4.505
```

Results
The value obtained for the volume is 15.19 A^3/atom. The final energy is -254.962 eV/cell. As for the space-group type: Pnma (62).